Computed, not measured: an optimized crystal structure of UV2Pd at the PBE-GGA level of DFT.

Values from the calculation:
As for the density of states at the Fermi level: 7.63 states/eV per cell. Its formation energy from the elements is 0.064 eV/atom. The density comes out at 11.78 g cm⁻³. As for the spin magnetization: 0.0 μB/f.u. The space-group type is P4/mmm, No. 123. The calculated total energy comes out at -8.616 eV per atom.

Geometry as POSCAR:
```
UV2Pd
1.0
4.6444 0.0000 0.0000
0.0000 4.6444 0.0000
0.0000 0.0000 2.9165
U V Pd
1 2 1
direct
0.0000 0.0000 0.0000
0.0000 0.5000 0.5000
0.5000 0.0000 0.5000
0.5000 0.5000 0.0000
```